# Tl2CoP (SCAN, single point on PBEsol structure)
data_Tl2CoP
_chemical_formula_sum 'Tl2 Co1 P1'
_cell_length_a 5.3225
_cell_length_b 5.3225
_cell_length_c 5.3225
_cell_angle_alpha 134.43
_cell_angle_beta 134.43
_cell_angle_gamma 66.42
_symmetry_space_group_name_H-M 'P 1'
_symmetry_Int_Tables_number 1
loop_
_symmetry_equiv_pos_as_xyz
'x,y,z'
loop_
_atom_site_label
_atom_site_fract_x
_atom_site_fract_y
_atom_site_fract_z
_atom_site_occupancy
Tl1 0.0000 0.0000 0.0000 1
Tl2 0.7500 0.2500 0.5000 1
Co1 0.5000 0.5000 0.0000 1
P1 0.2500 0.7500 0.5000 1
# ρ: 10942 kg/m3
# energy of formation from the pure elements: 0.791 eV per atom